VASP calculation (GGA-PBEsol) on an optimized crystal structure of Lu2TlHg.

The total energy is -3.689 eV per atom.

The structure belongs to space group Fm-3m (No. 225); the cell edges are 7.2442, 7.2442 and 7.2442 Å and the angles 90.00°, 90.00° and 90.00°. The inequivalent atoms are Lu at (0.2500, 0.2500, 0.2500), Tl at (0.0000, 0.0000, 0.0000) and Hg at (0.0000, 0.0000, 0.5000).

***

VASP calculation (GGA-PBEsol) on an optimized crystal structure of MnZnSeN2.

The uncorrected formation energy comes out at 1376.0 meV/atom. The total energy is -5.073 eV per atom.

The structure belongs to space group P4/mmm (No. 123); the cell edges are 3.7662, 3.7662 and 5.4854 Å and the angles 90.00°, 90.00° and 90.00°. The inequivalent atoms are Mn at (0.0000, 0.0000, 0.0000), Zn at (0.5000, 0.5000, 0.5000), Se at (0.5000, 0.5000, 0.0000) and N at (0.0000, 0.5000, 0.5000).

***

VASP calculation (GGA-PBEsol) on an optimized crystal structure of LaTePdN2.

The uncorrected formation energy comes out at 521.6 meV/atom. The total energy is -5.855 eV per atom.

The structure belongs to space group P4/mmm (No. 123); the cell edges are 4.2745, 4.2745 and 5.0600 Å and the angles 90.00°, 90.00° and 90.00°. The inequivalent atoms are La at (0.0000, 0.0000, 0.0000), Te at (0.5000, 0.5000, 0.0000), Pd at (0.5000, 0.5000, 0.5000) and N at (0.0000, 0.5000, 0.5000).

***

VASP calculation (GGA-PBEsol) on an optimized crystal structure of Ba2ScO3F.

The uncorrected formation energy comes out at -3272.6 meV/atom. The total energy is -7.355 eV per atom.

The structure belongs to space group I4mm (No. 107); the cell edges are 4.1307, 4.1307 and 13.5076 Å and the angles 90.00°, 90.00° and 90.00°. The inequivalent atoms are Ba at (0.0000, 0.0000, 0.0000), Ba at (0.0000, 0.0000, 0.2751), Sc at (0.0000, 0.0000, 0.6497), O at (0.0000, 0.0000, 0.7987), O at (0.0000, 0.5000, 0.1301) and F at (0.0000, 0.0000, 0.4706).

***

VASP calculation (GGA-PBEsol) on an optimized crystal structure of SrLiAs2.

The total energy is -4.152 eV per atom. The energy relative to the lowest polymorph listed for this composition is 0 meV/atom.

The structure belongs to space group Amm2 (No. 38); the cell edges are 4.5278, 4.3251 and 10.3066 Å and the angles 90.00°, 90.00° and 90.00°. The inequivalent atoms are Sr at (0.0000, 0.0000, 0.0000), Li at (0.5000, 0.0000, 0.7481), As at (0.0000, 0.0000, 0.2937) and As at (0.5000, 0.0000, 0.4158).

***

VASP calculation (GGA-PBEsol) on an optimized crystal structure of Rb2Pd3S4.

The uncorrected formation energy comes out at -762.2 meV/atom. The total energy is -4.925 eV per atom.

The structure belongs to space group Fddd (No. 70, origin choice 2); the cell edges are 6.0845, 10.7326 and 26.3404 Å and the angles 90.00°, 90.00° and 90.00°. The inequivalent atoms are Rb at (0.1250, 0.1250, 0.0466), Pd at (0.1250, 0.1250, 0.3756), Pd at (0.1250, 0.1250, 0.6250) and S at (0.1215, 0.2903, 0.5673).